(1)
## SrHf2CoMo (PBE)

Data for SrHf2CoMo after structural relaxation. Values from VASP.

Symmetry: P4/mmm, No. 123
VASP energy, eV per cell: -28.01

```
&SYSTEM
  ibrav = 0, nat = 5, ntyp = 4
/
ATOMIC_SPECIES
Sr 87.62 Sr.upf
Mo 95.94 Mo.upf
Hf 178.49 Hf.upf
Co 58.93 Co.upf
CELL_PARAMETERS angstrom
-2.1191 4.5745 0.3147
-1.9596 -0.6523 -3.7145
-3.9497 -1.9971 2.4344
ATOMIC_POSITIONS crystal
Sr 0.0000 0.0000 0.0000
Mo 0.5000 0.5000 0.5000
Hf 0.0000 0.0000 0.5000
Hf 0.5000 0.0000 0.0000
Co 0.0000 0.5000 0.0000
```


(2)
## HfTaCoMo (PBE)

Data for HfTaCoMo after structural relaxation. Values from VASP.

Symmetry: F-43m, No. 216
VASP energy, eV per cell: -40.57

```
&SYSTEM
  ibrav = 0, nat = 4, ntyp = 4
/
ATOMIC_SPECIES
Co 58.93 Co.upf
Mo 95.94 Mo.upf
Hf 178.49 Hf.upf
Ta 180.95 Ta.upf
CELL_PARAMETERS angstrom
-1.4864 -2.4323 3.4958
0.3363 -4.4975 -0.0762
2.9416 -2.0878 2.7082
ATOMIC_POSITIONS crystal
Co 0.0000 0.0000 0.0000
Mo 0.5000 0.5000 0.5000
Hf 0.2500 0.2500 0.2500
Ta 0.7500 0.7500 0.7500
```